Entry 1:
Here is a geometry-optimized CrCoN2 structure from Alexandria via LeMat-Bulk. Energies are from PBE.

a = 3.5395 Å, b = 3.5395 Å, c = 3.5395 Å
α = 60.00°, β = 60.00°, γ = 60.00°
Closest atoms and distances in Å follow each position.
Positions (direct):
Cr 0.0000 0.0000 0.0000  8 N 2.17
Co 0.5000 0.5000 0.5000  8 N 2.17
N 0.2500 0.2500 0.2500  4 Cr 2.17, 4 Co 2.17
N 0.7500 0.7500 0.7500  4 Cr 2.17, 4 Co 2.17

Computed properties:
Calculated volume (A^3/atom): 7.84
Raw formation energy (eV/atom): 0.5701
Total magnetic moment (μB/f.u.): 0.0

Entry 2:
Here is a geometry-optimized Ce2CoRu structure from Alexandria via LeMat-Bulk. Energies are from PBE.

a = 6.6747 Å, b = 6.6747 Å, c = 6.6747 Å
α = 34.10°, β = 34.10°, γ = 34.10°
Closest atoms and distances in Å follow each position.
Positions (direct):
Ce 0.2478 0.2478 0.2478  3 Co 2.73, 3 Ru 2.78
Ce 0.7522 0.7522 0.7522  3 Co 2.73, 3 Ru 2.78
Co 0.5000 0.5000 0.5000  6 Ce 2.73
Ru 0.0000 0.0000 0.0000  6 Ce 2.78

Computed properties:
Calculated volume (A^3/atom): 20.83
Total magnetic moment (μB/f.u.): 0.0
Energy of formation (meV per atom): -147

Entry 3:
Here is a geometry-optimized Sr2MnNi3As4 structure from Alexandria via LeMat-Bulk. Energies are from PBE.

a = 4.2593 Å, b = 4.2593 Å, c = 9.9947 Å
α = 90.00°, β = 90.00°, γ = 90.00°
Closest atoms and distances in Å follow each position.
Positions (direct):
Sr 0.0000 0.5000 0.2436  8 As 3.23-3.24, 7 Ni 3.27-3.59, 2 Mn 3.33
Sr 0.5000 0.0000 0.7564  8 As 3.23-3.24, 7 Ni 3.27-3.59, 2 Mn 3.33
Mn 0.0000 0.0000 0.5000  4 As 2.53
Ni 0.0000 0.5000 0.8845  5 As 2.42-2.48
Ni 0.5000 0.0000 0.1155  5 As 2.42-2.48
Ni 0.5000 0.5000 0.5000  4 As 2.53
As 0.0000 0.0000 0.0000  4 Ni 2.42
As 0.0000 0.5000 0.6360  3 Ni 2.48-2.53, 2 Mn 2.53
As 0.5000 0.0000 0.3640  3 Ni 2.48-2.53, 2 Mn 2.53
As 0.5000 0.5000 0.0000  4 Ni 2.42

Computed properties:
Calculated volume (A^3/atom): 18.13
Total magnetic moment (μB/f.u.): 3.7
Energy of formation (meV per atom): -635

Entry 4:
Here is a geometry-optimized Al2TcRu3 structure from Alexandria via LeMat-Bulk. Energies are from PBE.

a = 2.9520 Å, b = 2.9520 Å, c = 9.4843 Å
α = 90.00°, β = 90.00°, γ = 90.00°
Closest atoms and distances in Å follow each position.
Positions (direct):
Al 0.0000 0.0000 0.1561  8 Ru 2.56-2.63
Al 0.0000 0.0000 0.8439  8 Ru 2.56-2.63
Tc 0.0000 0.0000 0.5000  8 Ru 2.67, 4 Tc 2.95
Ru 0.5000 0.5000 0.0000  8 Al 2.56
Ru 0.5000 0.5000 0.3245  4 Al 2.63, 4 Tc 2.67
Ru 0.5000 0.5000 0.6755  4 Al 2.63, 4 Tc 2.67

Computed properties:
Calculated volume (A^3/atom): 13.77
Total magnetic moment (μB/f.u.): 0.0
Energy of formation (meV per atom): -426